## Ca2CuMo (PBE-GGA)

Data for a relaxed structure of Ca2CuMo.

Calculated values
The calculated formation energy comes out at 520 meV per atom.

abc: 3.105 3.105 8.890
angles: 90.00 90.00 90.00
Space group P4/mmm (No. 123)
Unique sites:
Ca (0.000, 0.000, 0.235) (multiplicity 2)
Cu (0.500, 0.500, 0.000) (multiplicity 1)
Mo (0.500, 0.500, 0.500) (multiplicity 1)


## Ca2CuMo (PBE-GGA)

Data for a relaxed structure of Ca2CuMo.

Calculated values
The calculated formation energy comes out at 718 meV per atom.

abc: 3.2728 3.2728 28.7965
angles: 90.00 90.00 120.00
Space group R-3m (No. 166, hexagonal axes)
Unique sites:
Ca (0.0000, 0.0000, 0.2475) (multiplicity 6)
Cu (0.0000, 0.0000, 0.5000) (multiplicity 3)
Mo (0.0000, 0.0000, 0.0000) (multiplicity 3)


## CaCu2Mo (PBE-GGA)

Data for a relaxed structure of CaCu2Mo.

Calculated values
The calculated formation energy comes out at 334 meV per atom.

abc: 2.852 3.690 6.542
angles: 90.00 90.00 90.00
Space group Pmmm (No. 47)
Unique sites:
Ca (0.000, 0.000, 0.000) (multiplicity 1)
Cu (0.500, 0.500, 0.304) (multiplicity 2)
Mo (0.000, 0.000, 0.500) (multiplicity 1)


## Ca2CuMo (PBE-GGA)

Data for a relaxed structure of Ca2CuMo.

Calculated values
The calculated formation energy comes out at 694 meV per atom.

abc: 7.243 7.243 7.243
angles: 90.00 90.00 90.00
Space group Fm-3m (No. 225)
Unique sites:
Ca (0.250, 0.250, 0.250) (multiplicity 8)
Cu (0.000, 0.000, 0.000) (multiplicity 4)
Mo (0.000, 0.000, 0.500) (multiplicity 4)


## Ca2CuMo (PBE-GGA)

Data for a relaxed structure of Ca2CuMo.

Calculated values
The calculated formation energy comes out at 727 meV per atom.

abc: 3.957 4.879 9.267
angles: 90.00 90.00 90.00
Space group Immm (No. 71)
Unique sites:
Ca (0.000, 0.000, 0.227) (multiplicity 4)
Cu (0.000, 0.500, 0.500) (multiplicity 2)
Mo (0.000, 0.500, 0.000) (multiplicity 2)


## Ca2CuMo (PBE-GGA)

Data for a relaxed structure of Ca2CuMo.

Calculated values
The calculated formation energy comes out at 465 meV per atom.

abc: 3.289 3.289 8.765
angles: 90.00 90.00 90.00
Space group P4mm (No. 99)
Unique sites:
Ca (0.000, 0.000, 0.000) (multiplicity 1)
Ca (0.500, 0.500, 0.383) (multiplicity 1)
Cu (0.000, 0.000, 0.613) (multiplicity 1)
Mo (0.500, 0.500, 0.748) (multiplicity 1)


## CaCu2Mo (PBE-GGA)

Data for a relaxed structure of CaCu2Mo.

Calculated values
The calculated formation energy comes out at 452 meV per atom.

abc: 2.739 4.860 9.998
angles: 90.00 90.00 90.00
Space group Imm2 (No. 44)
Unique sites:
Ca (0.000, 0.000, 0.000) (multiplicity 2)
Cu (0.000, 0.000, 0.476) (multiplicity 2)
Cu (0.000, 0.500, 0.768) (multiplicity 2)
Mo (0.000, 0.500, 0.208) (multiplicity 2)


## Ca2CuMo (PBE-GGA)

Data for a relaxed structure of Ca2CuMo.

Calculated values
The calculated formation energy comes out at 505 meV per atom.

abc: 11.546 3.010 5.437
angles: 90.00 110.25 90.00
Space group Cm (No. 8)
Unique sites:
Ca (0.000, 0.000, 0.000) (multiplicity 2)
Ca (0.200, 0.000, 0.625) (multiplicity 2)
Cu (0.449, 0.000, 0.476) (multiplicity 2)
Mo (0.272, 0.500, 0.182) (multiplicity 2)


## CaCu2Mo (PBE-GGA)

Data for a relaxed structure of CaCu2Mo.

Calculated values
The calculated formation energy comes out at 419 meV per atom.

abc: 10.229 2.721 4.936
angles: 90.00 107.21 90.00
Space group Cm (No. 8)
Unique sites:
Ca (0.000, 0.000, 0.000) (multiplicity 2)
Cu (0.261, 0.500, 0.161) (multiplicity 2)
Cu (0.461, 0.000, 0.487) (multiplicity 2)
Mo (0.210, 0.000, 0.619) (multiplicity 2)


## CaCu2Mo (PBE-GGA)

Data for a relaxed structure of CaCu2Mo.

Calculated values
The calculated formation energy comes out at 713 meV per atom.

abc: 6.463 6.463 6.463
angles: 90.00 90.00 90.00
Space group F-43m (No. 216)
Unique sites:
Ca (0.000, 0.000, 0.000) (multiplicity 4)
Cu (0.000, 0.000, 0.500) (multiplicity 4)
Cu (0.250, 0.250, 0.750) (multiplicity 4)
Mo (0.250, 0.250, 0.250) (multiplicity 4)


## CaCu2Mo (PBE-GGA)

Data for a relaxed structure of CaCu2Mo.

Calculated values
The calculated formation energy comes out at 624 meV per atom.

abc: 3.916 3.916 8.897
angles: 90.00 90.00 90.00
Space group I-4m2 (No. 119)
Unique sites:
Ca (0.000, 0.000, 0.000) (multiplicity 2)
Cu (0.000, 0.000, 0.500) (multiplicity 2)
Cu (0.000, 0.500, 0.750) (multiplicity 2)
Mo (0.000, 0.500, 0.250) (multiplicity 2)


## CaCu2Mo (PBE-GGA)

Data for a relaxed structure of CaCu2Mo.

Calculated values
The calculated formation energy comes out at 471 meV per atom.

abc: 8.646 2.811 6.018
angles: 90.00 97.35 90.00
Space group C2/m (No. 12)
Unique sites:
Ca (0.000, 0.000, 0.000) (multiplicity 2)
Cu (0.242, 0.000, 0.676) (multiplicity 4)
Mo (0.000, 0.500, 0.500) (multiplicity 2)


## Ca2CuMo (PBE-GGA)

Data for a relaxed structure of Ca2CuMo.

Calculated values
The calculated formation energy comes out at 745 meV per atom.

abc: 4.398 4.398 9.590
angles: 90.00 90.00 90.00
Space group I-4m2 (No. 119)
Unique sites:
Ca (0.000, 0.000, 0.000) (multiplicity 2)
Ca (0.000, 0.500, 0.250) (multiplicity 2)
Cu (0.000, 0.500, 0.750) (multiplicity 2)
Mo (0.000, 0.000, 0.500) (multiplicity 2)


## CaCu2Mo (PBE-GGA)

Data for a relaxed structure of CaCu2Mo.

Calculated values
The calculated formation energy comes out at 394 meV per atom.

abc: 2.884 2.884 7.985
angles: 90.00 90.00 90.00
Space group P4mm (No. 99)
Unique sites:
Ca (0.000, 0.000, 0.000) (multiplicity 1)
Cu (0.000, 0.000, 0.465) (multiplicity 1)
Cu (0.500, 0.500, 0.285) (multiplicity 1)
Mo (0.500, 0.500, 0.686) (multiplicity 1)


## Ca2CuMo (PBE-GGA)

Data for a relaxed structure of Ca2CuMo.

Calculated values
The calculated formation energy comes out at 640 meV per atom.

abc: 5.114 5.114 3.613
angles: 90.00 90.00 90.00
Space group P4/mmm (No. 123)
Unique sites:
Ca (0.000, 0.500, 0.000) (multiplicity 2)
Cu (0.000, 0.000, 0.500) (multiplicity 1)
Mo (0.500, 0.500, 0.500) (multiplicity 1)